The following is a DFT calculation (GGA-PBE) of crystalline Cs2PrRuO6 at its relaxed geometry.

The value obtained for the volume is 23.26 Å³/atom. The value obtained for the total energy is -6.104 eV/atom.

The space group is P-3m1 (No. 164) and the conventional cell measures 6.6857, 6.6857 and 6.0084 Å, with angles of 90.00, 90.00 and 120.00 degrees. The inequivalent atoms are Cs at (0.3333, 0.6667, 0.3757), Pr at (0.0000, 0.0000, 0.0000), Ru at (0.0000, 0.0000, 0.5000) and O at (0.1320, 0.2639, 0.6959).